Entry 1:
# LiAcTcH6 PBE relaxed
# Raw total energy (eV/atom): -4.3758
data_LiAcTcH6
_cell_length_a 4.689
_cell_length_b 4.736
_cell_length_c 4.736
_cell_angle_alpha 61.74
_cell_angle_beta 90.00
_cell_angle_gamma 90.00
_symmetry_space_group_name_H-M 'P 1'
_symmetry_Int_Tables_number 1
loop_
_symmetry_equiv_pos_as_xyz
'x,y,z'
loop_
_atom_site_label
_atom_site_fract_x
_atom_site_fract_y
_atom_site_fract_z
Li1 0.000 0.000 0.000
Ac1 0.500 0.337 0.337
Tc1 0.000 0.659 0.659
H1 0.244 0.817 0.817
H2 0.254 0.355 0.838
H3 0.254 0.838 0.355
H4 0.746 0.355 0.838
H5 0.746 0.838 0.355
H6 0.756 0.817 0.817

Entry 2:
# Tl3Te5 PBE relaxed
# E_form (uncorrected) (eV/atom): -0.0972
# Raw total energy (eV/atom): -2.9481
# Distance to the lowest polymorph of the same formula (meV/atom): 0
data_Tl3Te5
_cell_length_a 13.366
_cell_length_b 8.836
_cell_length_c 11.087
_cell_angle_alpha 83.45
_cell_angle_beta 41.05
_cell_angle_gamma 55.50
_symmetry_space_group_name_H-M 'P 1'
_symmetry_Int_Tables_number 1
loop_
_symmetry_equiv_pos_as_xyz
'x,y,z'
loop_
_atom_site_label
_atom_site_fract_x
_atom_site_fract_y
_atom_site_fract_z
Tl1 0.000 0.000 0.000
Tl2 0.250 0.250 0.250
Tl3 0.387 0.615 0.294
Tl4 0.546 0.956 0.635
Tl5 0.615 0.387 0.704
Tl6 0.956 0.546 0.863
Te1 0.015 0.782 0.379
Te2 0.122 0.551 0.065
Te3 0.185 0.988 0.128
Te4 0.401 0.401 0.599
Te5 0.426 0.871 0.468
Te6 0.551 0.122 0.262
Te7 0.651 0.651 0.849
Te8 0.782 0.015 0.824
Te9 0.871 0.426 0.235
Te10 0.988 0.185 0.699

Entry 3:
# Pa2AsO PBE relaxed
# E_form (uncorrected) (eV/atom): -1.0469
# Raw total energy (eV/atom): -8.1968
# Distance to the lowest polymorph of the same formula (meV/atom): 629
data_Pa2AsO
_cell_length_a 3.318
_cell_length_b 3.318
_cell_length_c 6.651
_cell_angle_alpha 90.00
_cell_angle_beta 90.00
_cell_angle_gamma 90.00
_symmetry_space_group_name_H-M 'P 1'
_symmetry_Int_Tables_number 1
loop_
_symmetry_equiv_pos_as_xyz
'x,y,z'
loop_
_atom_site_label
_atom_site_fract_x
_atom_site_fract_y
_atom_site_fract_z
Pa1 0.000 0.000 0.231
Pa2 0.000 0.000 0.769
As1 0.500 0.500 0.500
O1 0.500 0.500 0.000

Entry 4:
# Sr4ReIr PBE relaxed
# Energy of formation from the pure elements (kJ/mol of formula units): 931
# Raw total energy (eV/atom): -3.0641
data_Sr4ReIr
_cell_length_a 6.303
_cell_length_b 6.303
_cell_length_c 6.303
_cell_angle_alpha 60.00
_cell_angle_beta 60.00
_cell_angle_gamma 60.00
_symmetry_space_group_name_H-M 'P 1'
_symmetry_Int_Tables_number 1
loop_
_symmetry_equiv_pos_as_xyz
'x,y,z'
loop_
_atom_site_label
_atom_site_fract_x
_atom_site_fract_y
_atom_site_fract_z
Sr1 0.125 0.125 0.125
Sr2 0.125 0.125 0.626
Sr3 0.125 0.626 0.125
Sr4 0.626 0.125 0.125
Re1 0.500 0.500 0.500
Ir1 0.750 0.750 0.750

Entry 5:
# YMg3Cu2 PBE relaxed
# Energy of formation from the pure elements (kJ/mol of formula units): -66
# Raw total energy (eV/atom): -3.3534
data_YMg3Cu2
_cell_length_a 4.632
_cell_length_b 4.632
_cell_length_c 12.768
_cell_angle_alpha 90.00
_cell_angle_beta 90.00
_cell_angle_gamma 120.00
_symmetry_space_group_name_H-M 'P 1'
_symmetry_Int_Tables_number 1
loop_
_symmetry_equiv_pos_as_xyz
'x,y,z'
loop_
_atom_site_label
_atom_site_fract_x
_atom_site_fract_y
_atom_site_fract_z
Y1 0.000 0.000 0.250
Y2 0.000 0.000 0.750
Mg1 0.000 0.000 0.000
Mg2 0.000 0.000 0.500
Mg3 0.333 0.667 0.093
Mg4 0.333 0.667 0.407
Mg5 0.667 0.333 0.593
Mg6 0.667 0.333 0.907
Cu1 0.333 0.667 0.636
Cu2 0.333 0.667 0.864
Cu3 0.667 0.333 0.136
Cu4 0.667 0.333 0.364

Entry 6:
# Ba2Hg2OsO6 PBE relaxed
# E_form (uncorrected) (eV/atom): -1.3903
# Raw total energy (eV/atom): -5.5201
data_Ba2Hg2OsO6
_cell_length_a 6.435
_cell_length_b 6.435
_cell_length_c 6.996
_cell_angle_alpha 97.19
_cell_angle_beta 97.19
_cell_angle_gamma 120.36
_symmetry_space_group_name_H-M 'P 1'
_symmetry_Int_Tables_number 1
loop_
_symmetry_equiv_pos_as_xyz
'x,y,z'
loop_
_atom_site_label
_atom_site_fract_x
_atom_site_fract_y
_atom_site_fract_z
Ba1 0.166 0.834 0.000
Ba2 0.834 0.166 0.000
Hg1 0.346 0.654 0.500
Hg2 0.654 0.346 0.500
Os1 0.500 0.500 0.000
O1 0.213 0.456 0.845
O2 0.298 0.298 0.162
O3 0.456 0.213 0.845
O4 0.544 0.787 0.155
O5 0.702 0.702 0.838
O6 0.787 0.544 0.155

Number 1: theoretical density 6.1 g/cm3, density of states at the Fermi level 1.40 states/eV/f.u.. Number 2: theoretical density 7.2 g/cm3, density of states at the Fermi level 4.09 states/eV/f.u.. Number 3: theoretical density 12.5 g/cm3, density of states at the Fermi level 7.42 states/eV/f.u.. Number 4: theoretical density 6.8 g/cm3, density of states at the Fermi level 7.36 states/eV/f.u.. Number 5: theoretical density 4.0 g/cm3, density of states at the Fermi level 4.11 states/eV/f.u.. Number 6: theoretical density 6.6 g/cm3, density of states at the Fermi level 0.78 states/eV/f.u..